(1)
Pr2GaBr | GGA-PBE | optimized geometry

a = 6.103 Å, b = 6.103 Å, c = 12.385 Å
α = 90.00°, β = 90.00°, γ = 90.00°
Space group Pmna (No. 53)
Symmetry-distinct sites (fractional):
Pr1 0.000 0.249 0.120 x4
Pr2 0.000 0.251 0.630 x4
Ga1 0.000 0.251 0.875 x4
Br1 0.000 0.249 0.375 x4

* formation energy without anion corrections: -0.9473 eV per atom
* energy relative to the lowest polymorph listed for this composition: 0.0000 eV per atom


(2)
PrGaBr4 | GGA-PBE | optimized geometry

a = 15.904 Å, b = 4.437 Å, c = 7.954 Å
α = 90.00°, β = 119.63°, γ = 90.00°
Space group C2/m (No. 12)
Symmetry-distinct sites (fractional):
Pr1 0.000 0.000 0.000 x2
Ga1 0.000 0.500 0.500 x2
Br1 0.111 0.000 0.415 x4
Br2 0.117 0.500 0.971 x4

* formation energy without anion corrections: -1.4133 eV per atom